# 1
VASP calculation (GGA-PBEsol) on Mg3SnS after structural relaxation.

POSCAR file:
```
Mg3SnS
1.0
-2.046 4.505 1.567
-0.075 -1.735 4.891
4.769 1.905 0.749
Mg S Sn
3 1 1
Direct
0.000 0.500 0.000 Mg
0.000 0.000 0.500 Mg
0.500 0.000 0.000 Mg
0.500 0.500 0.500 S
0.000 0.000 0.000 Sn
```

Summary:
- E (eV per atom) = -2.66
- formation energy from raw total energies (eV/atom) = 0.0978
- M_tot (μB/f.u.) = 0.0
- SG = Pm-3m

# 2
VASP calculation (GGA-PBEsol) on HgMoIN2 after structural relaxation.

POSCAR file:
```
HgMoIN2
1.0
4.147 0.000 0.000
0.000 4.147 0.000
0.000 0.000 7.037
I Mo Hg N
1 1 1 2
Direct
0.000 0.000 0.500 I
0.500 0.500 0.500 Mo
0.000 0.000 0.000 Hg
0.000 0.500 0.000 N
0.500 0.000 0.000 N
```

Summary:
- E (eV per atom) = -3.85
- formation energy from raw total energies (eV/atom) = 2.3787
- M_tot (μB/f.u.) = 7.3
- SG = P4/mmm
- N(E_F) (states/eV per cell) = 3.65

# 3
VASP calculation (GGA-PBEsol) on Ag3W after structural relaxation.

POSCAR file:
```
Ag3W
1.0
-0.590 0.226 -2.602
3.045 -3.891 -1.029
-4.592 -1.902 0.877
Ag W
3 1
Direct
0.000 0.000 0.000 Ag
0.500 0.000 0.500 Ag
0.500 0.500 0.000 Ag
0.000 0.500 0.500 W
```

Summary:
- E (eV per atom) = -5.35
- ΔE_f (eV/atom) = 0.586
- M_tot (μB/f.u.) = 0.0
- SG = Cmmm
- N(E_F) (states/eV per cell) = 2.72

# 4
VASP calculation (GGA-PBEsol) on K2CoMo after structural relaxation.

POSCAR file:
```
K2CoMo
1.0
3.666 0.000 0.000
0.000 3.666 0.000
-1.833 -1.833 5.750
Co K Mo
1 2 1
Direct
0.000 0.000 0.000 Co
0.750 0.250 0.500 K
0.250 0.750 0.500 K
0.500 0.500 0.000 Mo
```

Summary:
- E (eV per atom) = -3.90
- ΔE_f (eV/atom) = 1.540
- M_tot (μB/f.u.) = 0.0
- SG = I4/mmm
- relative energy among the computed polymorphs (meV per atom) = 24.9
- N(E_F) (states/eV per cell) = 2.00

# 5
VASP calculation (GGA-PBEsol) on MnP2PbCl after structural relaxation.

POSCAR file:
```
MnP2PbCl
1.0
-3.764 2.108 -0.434
-1.100 -1.133 4.038
2.195 4.292 1.802
Pb P Mn Cl
1 2 1 1
Direct
0.500 0.500 0.500 Pb
0.000 0.500 0.000 P
0.500 0.000 0.000 P
0.000 0.000 0.000 Mn
0.000 0.000 0.500 Cl
```

Summary:
- E (eV per atom) = -5.40
- formation energy from raw total energies (eV/atom) = 0.0692
- M_tot (μB/f.u.) = 1.4
- SG = P4/mmm
- N(E_F) (states/eV per cell) = 3.19

# 6
VASP calculation (GGA-PBEsol) on CaTiSi4O10 after structural relaxation.

POSCAR file:
```
CaTiSi4O10
1.0
7.415 0.000 0.000
0.000 7.415 0.000
0.000 0.000 15.312
Ca Ti Si O
4 4 16 40
Direct
0.500 0.500 0.500 Ca
0.000 0.000 0.500 Ca
0.000 0.000 0.000 Ca
0.500 0.500 0.000 Ca
0.500 0.000 0.577 Ti
0.000 0.500 0.923 Ti
0.000 0.500 0.423 Ti
0.500 0.000 0.077 Ti
0.169 0.251 0.648 Si
0.831 0.749 0.648 Si
0.251 0.169 0.852 Si
0.751 0.331 0.648 Si
0.249 0.669 0.648 Si
0.331 0.751 0.852 Si
0.669 0.249 0.852 Si
0.749 0.831 0.852 Si
0.331 0.249 0.352 Si
0.669 0.751 0.352 Si
0.249 0.331 0.148 Si
0.749 0.169 0.352 Si
0.251 0.831 0.352 Si
0.169 0.749 0.148 Si
0.831 0.251 0.148 Si
0.751 0.669 0.148 Si
0.248 0.104 0.581 O
0.752 0.896 0.581 O
0.104 0.248 0.919 O
0.604 0.252 0.581 O
0.396 0.748 0.581 O
0.252 0.604 0.919 O
0.748 0.396 0.919 O
0.896 0.752 0.919 O
0.252 0.396 0.419 O
0.748 0.604 0.419 O
0.396 0.252 0.081 O
0.896 0.248 0.419 O
0.104 0.752 0.419 O
0.248 0.896 0.081 O
0.752 0.104 0.081 O
0.249 0.048 0.372 O
0.604 0.748 0.081 O
0.749 0.548 0.628 O
0.452 0.251 0.872 O
0.952 0.249 0.628 O
0.048 0.751 0.628 O
0.249 0.952 0.872 O
0.751 0.048 0.872 O
0.548 0.749 0.872 O
0.703 0.703 0.250 O
0.797 0.203 0.250 O
0.203 0.797 0.250 O
0.297 0.297 0.250 O
0.797 0.797 0.750 O
0.703 0.297 0.750 O
0.297 0.703 0.750 O
0.203 0.203 0.750 O
0.952 0.751 0.128 O
0.749 0.452 0.128 O
0.251 0.548 0.128 O
0.452 0.749 0.372 O
0.548 0.251 0.372 O
0.048 0.249 0.128 O
0.751 0.952 0.372 O
0.251 0.452 0.628 O
```

Summary:
- E (eV per atom) = -8.12
- formation energy from raw total energies (eV/atom) = -2.7445
- M_tot (μB/f.u.) = 2.0
- SG = P4/ncc
- N(E_F) (states/eV per cell) = 26.12

# 7
VASP calculation (GGA-PBEsol) on LiZn3 after structural relaxation.

POSCAR file:
```
LiZn3
1.0
2.753 0.000 0.000
0.000 4.265 0.000
0.000 0.000 4.687
Zn Li
3 1
Direct
0.500 0.000 0.506 Zn
0.500 0.500 0.836 Zn
0.000 0.500 0.328 Zn
0.000 0.000 0.997 Li
```

Summary:
- E (eV per atom) = -1.80
- ΔE_f (eV/atom) = -0.118
- M_tot (μB/f.u.) = 0.0
- SG = Pmm2
- N(E_F) (states/eV per cell) = 0.98

# 8
VASP calculation (GGA-PBEsol) on RbBaAs2Br after structural relaxation.

POSCAR file:
```
RbBaAs2Br
1.0
-3.698 -1.082 4.889
-3.223 -3.760 -3.270
3.522 -4.474 1.673
As Br Ba Rb
2 1 1 1
Direct
0.000 0.000 0.500 As
0.000 0.500 0.000 As
0.500 0.000 0.000 Br
0.000 0.000 0.000 Ba
0.500 0.500 0.500 Rb
```

Summary:
- E (eV per atom) = -3.18
- formation energy from raw total energies (eV/atom) = -0.1329
- M_tot (μB/f.u.) = 1.7
- SG = P4/mmm
- N(E_F) (states/eV per cell) = 5.26

# 9
VASP calculation (GGA-PBEsol) on YMgCd2Tc after structural relaxation.

POSCAR file:
```
YMgCd2Tc
1.0
5.489 0.000 0.000
0.000 5.489 0.000
0.000 0.000 5.619
Y Mg Tc Cd
1 1 1 2
Direct
0.000 0.000 0.000 Y
0.000 0.000 0.500 Mg
0.500 0.500 0.500 Tc
0.000 0.500 0.000 Cd
0.500 0.000 0.000 Cd
```

Summary:
- E (eV per atom) = -2.57
- ΔE_f (eV/atom) = 1.872
- M_tot (μB/f.u.) = 3.4
- SG = P4/mmm
- N(E_F) (states/eV per cell) = 5.89

# 10
VASP calculation (GGA-PBEsol) on RbH after structural relaxation.

POSCAR file:
```
RbH
1.0
4.152 0.000 0.000
2.076 3.595 0.000
2.076 1.198 3.390
H Rb
1 1
Direct
0.000 0.000 0.000 H
0.500 0.500 0.500 Rb
```

Summary:
- E (eV per atom) = -2.32
- M_tot (μB/f.u.) = 0.0
- SG = Fm-3m
- N(E_F) (states/eV per cell) = 0.00

# 11
VASP calculation (GGA-PBEsol) on Rb2NaNdBr6 after structural relaxation.

POSCAR file:
```
Rb2NaNdBr6
1.0
8.013 0.000 0.000
4.006 6.939 0.000
4.006 2.313 6.542
Na Nd Br Rb
1 1 6 2
Direct
0.500 0.500 0.500 Na
0.000 0.000 0.000 Nd
0.750 0.750 0.250 Br
0.250 0.750 0.250 Br
0.250 0.250 0.750 Br
0.750 0.250 0.750 Br
0.750 0.250 0.250 Br
0.250 0.750 0.750 Br
0.750 0.750 0.750 Rb
0.250 0.250 0.250 Rb
```

Summary:
- E (eV per atom) = -3.72
- formation energy from raw total energies (eV/atom) = -1.7410
- M_tot (μB/f.u.) = 0.0
- SG = Fm-3m
- N(E_F) (states/eV per cell) = 0.00

# 12
VASP calculation (GGA-PBEsol) on TaMo2As after structural relaxation.

POSCAR file:
```
TaMo2As
1.0
-2.561 1.499 -1.422
-2.373 -3.329 0.766
1.276 2.688 4.343
Mo As Ta
2 1 1
Direct
0.752 0.752 0.504 Mo
0.248 0.248 0.496 Mo
0.000 0.500 0.000 As
0.500 0.000 0.000 Ta
```

Summary:
- E (eV per atom) = -10.33
- ΔE_f (eV/atom) = -0.030
- M_tot (μB/f.u.) = 0.0
- SG = Immm
- N(E_F) (states/eV per cell) = 2.97

- What is the E in the third record?
  -5.35 eV per atom